(1)
The following is a PBE-GGA calculation of a geometry-optimized KBa2TlSb structure, from Alexandria.

Raw formation energy: 0.32 eV per atom
D(E_F): 0.71 states/eV/atom

Unit cell a=6.419 b=5.929 c=6.419 alpha=90.00 beta=90.00 gamma=90.00
Sites, in units of the cell vectors:
K: 0.000 0.000 0.000
Sb: 0.000 0.500 0.000
Tl: 0.500 0.500 0.500
Ba: 0.000 0.000 0.500
Ba: 0.500 0.000 0.000

---

(2)
The following is a PBE-GGA calculation of a geometry-optimized K2BaTlSb2 structure, from Alexandria.

Raw formation energy: -0.56 eV per atom
D(E_F): 0.41 states/eV/atom

Unit cell a=5.133 b=9.108 c=10.043 alpha=90.00 beta=90.00 gamma=90.00
Sites, in units of the cell vectors:
K: 0.500 0.035 0.084
K: 0.000 0.362 0.170
K: 0.500 0.535 0.916
K: 0.000 0.862 0.830
Ba: 0.000 0.987 0.449
Ba: 0.000 0.487 0.551
Tl: 0.500 0.143 0.685
Tl: 0.500 0.643 0.315
Sb: 0.000 0.250 0.833
Sb: 0.500 0.269 0.396
Sb: 0.000 0.750 0.167
Sb: 0.500 0.769 0.604

---

(3)
The following is a PBE-GGA calculation of a geometry-optimized KBaZnSb structure, from Alexandria.

Raw formation energy: -0.47 eV per atom

Unit cell a=5.875 b=5.875 c=5.875 alpha=60.00 beta=60.00 gamma=60.00
Sites, in units of the cell vectors:
K: 0.500 0.500 0.500
Sb: 0.750 0.750 0.750
Zn: 0.250 0.250 0.250
Ba: 0.000 0.000 0.000

---

(4)
The following is a PBE-GGA calculation of a geometry-optimized KBaZn2Sb2 structure, from Alexandria.

Raw formation energy: -0.52 eV per atom
D(E_F): 0.34 states/eV/atom

Unit cell a=4.616 b=4.616 c=10.414 alpha=90.00 beta=90.00 gamma=120.00
Sites, in units of the cell vectors:
K: 0.000 0.000 0.000
Ba: 0.000 0.000 0.500
Zn: 0.333 0.667 0.721
Zn: 0.667 0.333 0.279
Sb: 0.333 0.667 0.250
Sb: 0.667 0.333 0.750

---

(5)
The following is a PBE-GGA calculation of a geometry-optimized KBa2Sc structure, from Alexandria.

D(E_F): 1.53 states/eV/atom
E: -0.1765 Ry per atom

Unit cell a=6.566 b=6.566 c=6.566 alpha=60.00 beta=60.00 gamma=60.00
Sites, in units of the cell vectors:
Sc: 0.500 0.500 0.500
K: 0.000 0.000 0.000
Ba: 0.250 0.250 0.250
Ba: 0.750 0.750 0.750

---

(6)
The following is a PBE-GGA calculation of a geometry-optimized KBaSc3 structure, from Alexandria.

D(E_F): 0.37 states/eV/atom
E: -0.2413 Ry per atom

Unit cell a=5.706 b=5.706 c=5.706 alpha=90.00 beta=90.00 gamma=90.00
Sites, in units of the cell vectors:
Sc: 0.000 0.500 0.000
Sc: 0.000 0.000 0.500
Sc: 0.500 0.000 0.000
K: 0.500 0.500 0.500
Ba: 0.000 0.000 0.000

---

(7)
The following is a PBE-GGA calculation of a geometry-optimized KBa2Sc structure, from Alexandria.

D(E_F): 1.64 states/eV/atom
E: -0.1774 Ry per atom

Unit cell a=7.682 b=7.682 c=6.898 alpha=71.63 beta=71.63 gamma=31.76
Sites, in units of the cell vectors:
Ba: 0.971 0.971 0.056
Ba: 0.755 0.755 0.722
K: 0.525 0.525 0.506
Sc: 0.249 0.249 0.216

---

(8)
The following is a PBE-GGA calculation of a geometry-optimized KBa2Sc structure, from Alexandria.

D(E_F): 1.83 states/eV/atom
E: -0.1722 Ry per atom

Unit cell a=6.530 b=6.530 c=6.530 alpha=60.00 beta=60.00 gamma=60.00
Sites, in units of the cell vectors:
Ba: 0.000 0.000 0.000
Ba: 0.250 0.250 0.250
K: 0.500 0.500 0.500
Sc: 0.750 0.750 0.750

---

(9)
The following is a PBE-GGA calculation of a geometry-optimized KBa2Sc structure, from Alexandria.

D(E_F): 1.40 states/eV/atom
E: -0.1848 Ry per atom

Unit cell a=13.779 b=13.779 c=13.779 alpha=17.22 beta=17.22 gamma=17.22
Sites, in units of the cell vectors:
Ba: 0.014 0.014 0.014
Ba: 0.486 0.486 0.486
K: 0.250 0.250 0.250
Sc: 0.750 0.750 0.750

---

(10)
The following is a PBE-GGA calculation of a geometry-optimized K2BaSc2 structure, from Alexandria.

D(E_F): 1.18 states/eV/atom
E: -0.1951 Ry per atom

Unit cell a=10.922 b=10.922 c=3.830 alpha=90.00 beta=90.00 gamma=90.00
Sites, in units of the cell vectors:
Sc: 0.405 0.905 0.000
Sc: 0.905 0.595 0.000
Sc: 0.595 0.095 0.000
Sc: 0.095 0.405 0.000
K: 0.192 0.692 0.500
K: 0.692 0.808 0.500
K: 0.808 0.308 0.500
K: 0.308 0.192 0.500
Ba: 0.000 0.000 0.000
Ba: 0.500 0.500 0.000

---

(11)
The following is a PBE-GGA calculation of a geometry-optimized KBa2Sc structure, from Alexandria.

D(E_F): 1.54 states/eV/atom
E: -0.1580 Ry per atom

Unit cell a=5.492 b=5.492 c=14.113 alpha=78.78 beta=78.78 gamma=90.00
Sites, in units of the cell vectors:
Sc: 0.000 0.000 0.000
Sc: 0.750 0.250 0.500
K: 0.500 0.500 0.000
K: 0.250 0.750 0.500
Ba: 0.638 0.125 0.250
Ba: 0.112 0.625 0.250
Ba: 0.375 0.362 0.750
Ba: 0.875 0.888 0.750

---

(12)
The following is a PBE-GGA calculation of a geometry-optimized KBa2Sc structure, from Alexandria.

D(E_F): 1.72 states/eV/atom
E: -0.1764 Ry per atom

Unit cell a=6.813 b=6.813 c=7.749 alpha=82.01 beta=82.01 gamma=34.45
Sites, in units of the cell vectors:
Ba: 0.987 0.987 0.027
Ba: 0.513 0.513 0.473
K: 0.750 0.750 0.750
Sc: 0.250 0.250 0.250

---

(13)
The following is a PBE-GGA calculation of a geometry-optimized KBa2Sc structure, from Alexandria.

D(E_F): 1.93 states/eV/atom
E: -0.1872 Ry per atom

Unit cell a=4.271 b=4.271 c=11.549 alpha=90.00 beta=90.00 gamma=90.06
Sites, in units of the cell vectors:
Ba: 0.000 0.000 0.943
Ba: 0.000 0.000 0.557
K: 0.500 0.500 0.250
Sc: 0.500 0.500 0.750

---

(14)
The following is a PBE-GGA calculation of a geometry-optimized KBa2Sc structure, from Alexandria.

D(E_F): 1.71 states/eV/atom
E: -0.1725 Ry per atom

Unit cell a=4.739 b=6.673 c=6.279 alpha=90.00 beta=90.00 gamma=90.00
Sites, in units of the cell vectors:
Ba: 0.000 0.000 0.000
Ba: 0.500 0.500 0.000
K: 0.500 0.000 0.500
Sc: 0.000 0.500 0.500

---

(15)
The following is a PBE-GGA calculation of a geometry-optimized K2BaSc2 structure, from Alexandria.

D(E_F): 1.16 states/eV/atom
E: -0.1971 Ry per atom

Unit cell a=5.228 b=5.228 c=9.629 alpha=74.25 beta=74.25 gamma=90.00
Sites, in units of the cell vectors:
Sc: 0.423 0.423 0.155
Sc: 0.577 0.577 0.845
K: 0.750 0.250 0.500
K: 0.250 0.750 0.500
Ba: 0.000 0.000 0.000

---

(16)
The following is a PBE-GGA calculation of a geometry-optimized KBaSc4 structure, from Alexandria.

D(E_F): 1.68 states/eV/atom
E: -0.3083 Ry per atom

Unit cell a=6.714 b=6.714 c=6.714 alpha=60.00 beta=60.00 gamma=60.00
Sites, in units of the cell vectors:
K: 0.000 0.000 0.000
Ba: 0.750 0.750 0.750
Sc: 0.865 0.378 0.378
Sc: 0.378 0.378 0.865
Sc: 0.378 0.865 0.378
Sc: 0.378 0.378 0.378

---

(17)
The following is a PBE-GGA calculation of a geometry-optimized KBa2Sc structure, from Alexandria.

D(E_F): 2.00 states/eV/atom
E: -0.1732 Ry per atom

Unit cell a=7.420 b=7.420 c=7.420 alpha=135.08 beta=135.08 gamma=65.41
Sites, in units of the cell vectors:
Ba: 0.000 0.000 0.000
Ba: 0.250 0.750 0.500
K: 0.500 0.500 0.000
Sc: 0.750 0.250 0.500

---

(18)
The following is a PBE-GGA calculation of a geometry-optimized K4BaSc structure, from Alexandria.

D(E_F): 1.44 states/eV/atom
E: -0.1191 Ry per atom

Unit cell a=7.846 b=7.846 c=7.846 alpha=60.00 beta=60.00 gamma=60.00
Sites, in units of the cell vectors:
K: 0.872 0.376 0.376
K: 0.376 0.376 0.872
K: 0.376 0.872 0.376
K: 0.376 0.376 0.376
Ba: 0.000 0.000 0.000
Sc: 0.750 0.750 0.750

---

(19)
The following is a PBE-GGA calculation of a geometry-optimized KBa2Sc structure, from Alexandria.

D(E_F): 1.31 states/eV/atom
E: -0.1792 Ry per atom

Unit cell a=4.054 b=4.054 c=12.606 alpha=90.00 beta=90.00 gamma=90.02
Sites, in units of the cell vectors:
Ba: 0.000 0.000 0.960
Ba: 0.500 0.500 0.238
K: 0.000 0.000 0.536
Sc: 0.500 0.500 0.766

---

(20)
The following is a PBE-GGA calculation of a geometry-optimized KBa2Sc structure, from Alexandria.

D(E_F): 1.67 states/eV/atom
E: -0.1773 Ry per atom

Unit cell a=8.118 b=8.118 c=8.118 alpha=149.72 beta=130.49 gamma=59.15
Sites, in units of the cell vectors:
Ba: 0.032 0.032 0.000
Ba: 0.748 0.248 0.500
K: 0.473 0.473 0.000
Sc: 0.247 0.747 0.500

---

no.,calculated volume (Å³/atom)
1,48.86
2,39.12
3,35.85
4,32.03
5,50.04
6,37.15
7,50.62
8,49.22
9,50.01
10,45.68
11,51.16
12,50.32
13,52.66
14,49.63
15,48.60
16,35.66
17,50.19
18,56.93
19,51.79
20,50.90